(1)
# Th3OsSeCl

A relaxed structure of Th3OsSeCl (PBE-GGA, Alexandria).

a b c (Å): 8.4972 4.1173 9.7560
angles (deg): 90.00 96.67 90.00
Fractional positions:
Th  0.1307  0.2500  0.3005
Th  0.1504  0.2500  0.9174
Th  0.3051  0.7500  0.6106
Th  0.6949  0.2500  0.3894
Th  0.8496  0.7500  0.0826
Th  0.8693  0.7500  0.6995
Os  0.0704  0.2500  0.6195
Os  0.9296  0.7500  0.3805
Se  0.4161  0.7500  0.3293
Se  0.5839  0.2500  0.6707
Cl  0.3830  0.7500  0.9081
Cl  0.6170  0.2500  0.0919

Output
Energy relative to the elements, uncorrected, eV per atom: -0.99

(2)
# CoSiOs2

A relaxed structure of CoSiOs2 (PBE-GGA, Alexandria).

a b c (Å): 8.2278 8.2278 8.2278
angles (deg): 19.22 19.22 19.22
Fractional positions:
Co  0.0000  0.0000  0.0000
Si  0.5000  0.5000  0.5000
Os  0.2474  0.2474  0.2474
Os  0.7526  0.7526  0.7526

Output
Energy relative to the elements, uncorrected, eV per atom: 0.08

(3)
# MgSb2Ru

A relaxed structure of MgSb2Ru (PBE-GGA, Alexandria).

a b c (Å): 3.6545 4.5422 5.3070
angles (deg): 90.00 109.89 90.00
Fractional positions:
Mg  0.0000  0.0000  0.0000
Sb  0.4404  0.5000  0.8788
Sb  0.7213  0.0000  0.4472
Ru  0.1504  0.5000  0.3030

Output
Energy relative to the elements, uncorrected, eV per atom: 0.01

(4)
# LiNd3Np3S8

A relaxed structure of LiNd3Np3S8 (PBE-GGA, Alexandria).

a b c (Å): 7.9455 7.9455 7.9455
angles (deg): 59.63 59.63 59.63
Fractional positions:
Li  0.0000  0.0000  0.0000
Nd  0.0000  0.0000  0.5000
Nd  0.0000  0.5000  0.0000
Nd  0.5000  0.0000  0.0000
Np  0.0000  0.5000  0.5000
Np  0.5000  0.0000  0.5000
Np  0.5000  0.5000  0.0000
S  0.2440  0.2440  0.7461
S  0.2440  0.7461  0.2440
S  0.2544  0.2544  0.2544
S  0.2539  0.7560  0.7560
S  0.7461  0.2440  0.2440
S  0.7456  0.7456  0.7456
S  0.7560  0.2539  0.7560
S  0.7560  0.7560  0.2539

Output
Energy relative to the elements, uncorrected, eV per atom: -1.65

(5)
# LiHg2Se

A relaxed structure of LiHg2Se (PBE-GGA, Alexandria).

a b c (Å): 6.9450 6.9450 3.1093
angles (deg): 102.78 102.78 131.41
Fractional positions:
Li  0.0000  0.0000  0.0000
Hg  0.0000  0.5000  0.5000
Hg  0.5000  0.0000  0.5000
Se  0.5000  0.5000  0.0000

Output
Energy relative to the elements, uncorrected, eV per atom: -0.26

(6)
# Er3Co6Sn5

A relaxed structure of Er3Co6Sn5 (PBE-GGA, Alexandria).

a b c (Å): 8.0661 8.0661 8.0661
angles (deg): 148.98 107.31 81.11
Fractional positions:
Er  0.0000  0.0000  0.0000
Er  0.3177  0.3177  0.0000
Er  0.6823  0.6823  0.0000
Co  0.1646  0.8924  0.2722
Co  0.3068  0.5000  0.8068
Co  0.3798  0.1076  0.2722
Co  0.6202  0.8924  0.7278
Co  0.6932  0.5000  0.1932
Co  0.8354  0.1076  0.7278
Sn  0.0184  0.6768  0.3416
Sn  0.3352  0.6768  0.6584
Sn  0.5000  0.0000  0.5000
Sn  0.6649  0.3232  0.3416
Sn  0.9816  0.3232  0.6584

(7)
# Al2AgS4

A relaxed structure of Al2AgS4 (PBE-GGA, Alexandria).

a b c (Å): 5.0748 5.0748 6.1140
angles (deg): 90.00 90.00 90.00
Fractional positions:
Al  0.0000  0.5000  0.0000
Al  0.5000  0.0000  0.0000
Ag  0.0000  0.0000  0.5000
S  0.2666  0.2666  0.7716
S  0.2666  0.7334  0.2284
S  0.7334  0.2666  0.2284
S  0.7334  0.7334  0.7716

Output
Energy relative to the elements, uncorrected, eV per atom: -0.71

(8)
# Fe3BOs

A relaxed structure of Fe3BOs (PBE-GGA, Alexandria).

a b c (Å): 4.5239 4.5239 4.5239
angles (deg): 90.00 90.00 90.00
Fractional positions:
Fe  0.0000  0.0000  0.5000
Fe  0.0000  0.5000  0.0000
Fe  0.5000  0.0000  0.0000
B  0.5000  0.5000  0.5000
Os  0.0000  0.0000  0.0000

Output
Excess energy over the best structure of this formula in the dataset, kJ per mole of atoms: 189.7

(9)
# YScOsPd

A relaxed structure of YScOsPd (PBE-GGA, Alexandria).

a b c (Å): 4.7493 4.7493 4.7493
angles (deg): 60.00 60.00 60.00
Fractional positions:
Y  0.0000  0.0000  0.0000
Sc  0.5000  0.5000  0.5000
Os  0.7500  0.7500  0.7500
Pd  0.2500  0.2500  0.2500

(10)
# ScZnTe2

A relaxed structure of ScZnTe2 (PBE-GGA, Alexandria).

a b c (Å): 8.8567 8.8567 8.8567
angles (deg): 27.60 27.60 27.60
Fractional positions:
Sc  0.0000  0.0000  0.0000
Zn  0.5000  0.5000  0.5000
Te  0.3968  0.3968  0.3968
Te  0.6032  0.6032  0.6032

Output
Energy relative to the elements, uncorrected, eV per atom: -0.58

(11)
# PrAlZnNi

A relaxed structure of PrAlZnNi (PBE-GGA, Alexandria).

a b c (Å): 4.7128 4.7128 4.7128
angles (deg): 60.00 60.00 60.00
Fractional positions:
Pr  0.0000  0.0000  0.0000
Al  0.5000  0.5000  0.5000
Zn  0.7500  0.7500  0.7500
Ni  0.2500  0.2500  0.2500

Output
Excess energy over the best structure of this formula in the dataset, kJ per mole of atoms: 11.0

(12)
# LaZnOs2

A relaxed structure of LaZnOs2 (PBE-GGA, Alexandria).

a b c (Å): 2.8802 2.8802 9.1717
angles (deg): 90.00 90.00 115.23
Fractional positions:
La  0.0000  0.0000  0.0000
Zn  0.0000  0.0000  0.5000
Os  0.5000  0.5000  0.2718
Os  0.5000  0.5000  0.7282

(13)
# MoCl2

A relaxed structure of MoCl2 (PBE-GGA, Alexandria).

a b c (Å): 7.6016 7.6016 7.6585
angles (deg): 110.53 110.53 24.16
Fractional positions:
Mo  0.0000  0.0000  0.0000
Mo  0.6323  0.6323  0.0181
Cl  0.1992  0.1992  0.8409
Cl  0.4663  0.4663  0.7316
Cl  0.4777  0.4777  0.2262
Cl  0.7504  0.7504  0.3042

Output
Energy relative to the elements, uncorrected, eV per atom: -0.55
Excess energy over the best structure of this formula in the dataset, kJ per mole of atoms: 37.8

(14)
# Ho12HgRh6

A relaxed structure of Ho12HgRh6 (PBE-GGA, Alexandria).

a b c (Å): 8.4968 8.4968 8.4968
angles (deg): 109.47 109.47 109.47
Fractional positions:
Ho  0.1106  0.2993  0.8113
Ho  0.1887  0.4880  0.2993
Ho  0.1887  0.8894  0.7007
Ho  0.2993  0.1887  0.4880
Ho  0.2993  0.8113  0.1106
Ho  0.4880  0.2993  0.1887
Ho  0.5120  0.7007  0.8113
Ho  0.7007  0.1887  0.8894
Ho  0.7007  0.8113  0.5120
Ho  0.8113  0.1106  0.2993
Ho  0.8113  0.5120  0.7007
Ho  0.8894  0.7007  0.1887
Hg  0.0000  0.0000  0.0000
Rh  0.1310  0.5000  0.6310
Rh  0.3690  0.8690  0.5000
Rh  0.5000  0.3690  0.8690
Rh  0.5000  0.6310  0.1310
Rh  0.6310  0.1310  0.5000
Rh  0.8690  0.5000  0.3690

(15)
# Hf2PH3

A relaxed structure of Hf2PH3 (PBE-GGA, Alexandria).

a b c (Å): 6.6209 6.6209 6.4417
angles (deg): 112.04 112.04 29.08
Fractional positions:
Hf  0.0298  0.0298  0.2526
Hf  0.2937  0.2937  0.2687
Hf  0.7063  0.7063  0.7313
Hf  0.9702  0.9702  0.7474
P  0.3750  0.3750  0.9436
P  0.6250  0.6250  0.0564
H  0.1063  0.1063  0.6686
H  0.1947  0.1947  0.4760
H  0.4262  0.4262  0.5585
H  0.5738  0.5738  0.4415
H  0.8053  0.8053  0.5240
H  0.8937  0.8937  0.3314

(16)
# NdB2Ir

A relaxed structure of NdB2Ir (PBE-GGA, Alexandria).

a b c (Å): 6.5870 6.0012 6.1704
angles (deg): 90.00 90.00 90.00
Fractional positions:
Nd  0.1574  0.2500  0.1440
Nd  0.3426  0.7500  0.6440
Nd  0.6574  0.2500  0.3560
Nd  0.8426  0.7500  0.8560
B  0.0280  0.1075  0.5810
B  0.0280  0.3925  0.5810
B  0.4720  0.6075  0.0810
B  0.4720  0.8925  0.0810
B  0.5280  0.1075  0.9190
B  0.5280  0.3925  0.9190
B  0.9720  0.6075  0.4190
B  0.9720  0.8925  0.4190
Ir  0.1766  0.7500  0.1692
Ir  0.3234  0.2500  0.6692
Ir  0.6766  0.7500  0.3308
Ir  0.8234  0.2500  0.8308

Output
Excess energy over the best structure of this formula in the dataset, kJ per mole of atoms: 0.0

(17)
# Ac2ZrPb

A relaxed structure of Ac2ZrPb (PBE-GGA, Alexandria).

a b c (Å): 12.5969 12.5969 12.5969
angles (deg): 16.40 16.40 16.40
Fractional positions:
Ac  0.0873  0.0873  0.0873
Ac  0.9127  0.9127  0.9127
Zr  0.0000  0.0000  0.0000
Pb  0.5000  0.5000  0.5000

(18)
# MgSbPb2

A relaxed structure of MgSbPb2 (PBE-GGA, Alexandria).

a b c (Å): 8.0839 8.0839 8.0839
angles (deg): 128.43 128.43 75.94
Fractional positions:
Mg  0.0000  0.0000  0.0000
Mg  0.7500  0.2500  0.5000
Sb  0.2500  0.7500  0.5000
Sb  0.5000  0.5000  0.0000
Pb  0.1204  0.6250  0.9954
Pb  0.3750  0.3704  0.4954
Pb  0.6296  0.1250  0.0046
Pb  0.8750  0.8796  0.5046

Output
Energy relative to the elements, uncorrected, eV per atom: 0.20
Excess energy over the best structure of this formula in the dataset, kJ per mole of atoms: 22.6

(19)
# LuHfTl2

A relaxed structure of LuHfTl2 (PBE-GGA, Alexandria).

a b c (Å): 10.0997 10.0997 10.0997
angles (deg): 19.56 19.56 19.56
Fractional positions:
Lu  0.0000  0.0000  0.0000
Hf  0.5000  0.5000  0.5000
Tl  0.2486  0.2486  0.2486
Tl  0.7514  0.7514  0.7514

Output
Excess energy over the best structure of this formula in the dataset, kJ per mole of atoms: 1.8

(20)
# BaFeCu2

A relaxed structure of BaFeCu2 (PBE-GGA, Alexandria).

a b c (Å): 3.2861 3.2257 7.2757
angles (deg): 90.00 90.06 90.00
Fractional positions:
Ba  0.0000  0.0000  0.0000
Fe  0.0000  0.0000  0.5000
Cu  0.4994  0.5000  0.6667
Cu  0.5006  0.5000  0.3333

(21)
# CeTcRu

A relaxed structure of CeTcRu (PBE-GGA, Alexandria).

a b c (Å): 4.2132 4.2132 8.3879
angles (deg): 90.00 90.00 120.00
Fractional positions:
Ce  0.0000  0.0000  0.0000
Ce  0.0000  0.0000  0.5000
Tc  0.3333  0.6667  0.2500
Tc  0.6667  0.3333  0.7500
Ru  0.3333  0.6667  0.7500
Ru  0.6667  0.3333  0.2500

Output
Excess energy over the best structure of this formula in the dataset, kJ per mole of atoms: 33.8

(22)
# KCoSe3

A relaxed structure of KCoSe3 (PBE-GGA, Alexandria).

a b c (Å): 4.8811 4.8811 4.8811
angles (deg): 90.00 90.00 90.00
Fractional positions:
K  0.0000  0.0000  0.0000
Co  0.5000  0.5000  0.5000
Se  0.0000  0.5000  0.5000
Se  0.5000  0.0000  0.5000
Se  0.5000  0.5000  0.0000

Output
Energy relative to the elements, uncorrected, eV per atom: -0.17
Excess energy over the best structure of this formula in the dataset, kJ per mole of atoms: 0.0

(23)
# NdDyPaO6

A relaxed structure of NdDyPaO6 (PBE-GGA, Alexandria).

a b c (Å): 5.9022 5.9022 4.6858
angles (deg): 90.00 90.00 120.00
Fractional positions:
Nd  0.0000  0.0000  0.0000
Dy  0.6667  0.3333  0.0000
Pa  0.3333  0.6667  0.5000
O  0.0136  0.3586  0.7528
O  0.0136  0.6550  0.2472
O  0.3450  0.3586  0.2472
O  0.3450  0.9864  0.7528
O  0.6414  0.6550  0.7528
O  0.6414  0.9864  0.2472

Output
Energy relative to the elements, uncorrected, eV per atom: -3.15

(24)
# Rb2ZrAs2Se6

A relaxed structure of Rb2ZrAs2Se6 (PBE-GGA, Alexandria).

a b c (Å): 6.7349 6.7349 8.7960
angles (deg): 104.91 104.91 66.89
Fractional positions:
Rb  0.1877  0.1877  0.1153
Rb  0.8123  0.8123  0.8847
Zr  0.0000  0.0000  0.5000
As  0.4057  0.4057  0.7630
As  0.5943  0.5943  0.2370
Se  0.2036  0.7164  0.2536
Se  0.2418  0.2418  0.5167
Se  0.2836  0.7964  0.7464
Se  0.7164  0.2036  0.2536
Se  0.7582  0.7582  0.4833
Se  0.7964  0.2836  0.7464

Output
Energy relative to the elements, uncorrected, eV per atom: -0.71

no.,N(E_F) (states/eV/cell),calculated total energy (eV per atom)
1,9.601,-7.457
2,3.419,-8.667
3,2.965,-4.767
4,32.713,-7.521
5,1.108,-1.756
6,14.021,-5.790
7,4.777,-4.547
8,7.460,-6.401
9,1.622,-7.865
10,3.695,-4.057
11,3.403,-4.188
12,4.020,-6.583
13,3.003,-5.390
14,19.999,-5.830
15,2.762,-6.527
16,8.191,-7.191
17,6.028,-4.760
18,3.305,-3.081
19,3.551,-4.788
20,4.381,-4.224
21,11.746,-8.401
22,7.963,-3.906
23,8.880,-8.552
24,0.926,-4.405